Here is crystalline Sr4Ce3TcN8 at its relaxed geometry from Alexandria via LeMat-Bulk. Energies are from PBE-GGA.

Unit cell a=7.2126 b=7.2126 c=7.2126 alpha=58.76 beta=58.76 gamma=58.76
Sites, in units of the cell vectors:
1 Sr 0.0000 0.0000 0.0000
2 Sr 0.0000 0.5000 0.5000
3 Sr 0.5000 0.0000 0.5000
4 Sr 0.5000 0.5000 0.0000
5 Ce 0.0000 0.0000 0.5000
6 Ce 0.0000 0.5000 0.0000
7 Ce 0.5000 0.0000 0.0000
8 Tc 0.5000 0.5000 0.5000
9 N 0.2356 0.2356 0.2356
10 N 0.2519 0.7261 0.7261
11 N 0.2739 0.2739 0.7481
12 N 0.2739 0.7481 0.2739
13 N 0.7261 0.2519 0.7261
14 N 0.7261 0.7261 0.2519
15 N 0.7481 0.2739 0.2739
16 N 0.7644 0.7644 0.7644

Computed properties:
Magnetization (μB/cell): 2.7
Formation energy without anion corrections (meV per atom): -901.6
N(E_F) (states/eV/atom): 0.28


Here is crystalline TcHg2Pt at its relaxed geometry from Alexandria via LeMat-Bulk. Energies are from PBE-GGA.

Unit cell a=4.9662 b=4.9662 c=5.3043 alpha=98.54 beta=98.54 gamma=33.60
Sites, in units of the cell vectors:
1 Tc 0.0000 0.0000 0.0000
2 Hg 0.2513 0.2513 0.7528
3 Hg 0.7487 0.7487 0.2472
4 Pt 0.5000 0.5000 0.5000

Computed properties:
Energy of formation (eV per formula unit): 1.71
Magnetization (μB/cell): 0.0
N(E_F) (states/eV/atom): 0.72
ΔE to the lowest computed polymorph (kJ/mol of formula units): 86


Here is crystalline Tl2SeS3 at its relaxed geometry from Alexandria via LeMat-Bulk. Energies are from PBE-GGA.

Unit cell a=7.6676 b=7.6676 c=7.6861 alpha=104.68 beta=104.68 gamma=48.18
Sites, in units of the cell vectors:
1 Tl 0.1805 0.1825 0.0901
2 Tl 0.1825 0.1805 0.5901
3 Tl 0.8175 0.8195 0.4099
4 Tl 0.8195 0.8175 0.9099
5 Se 0.4381 0.5619 0.7500
6 Se 0.5619 0.4381 0.2500
7 S 0.0868 0.9132 0.7500
8 S 0.3627 0.3801 0.9352
9 S 0.3801 0.3627 0.4352
10 S 0.6199 0.6373 0.5648
11 S 0.6373 0.6199 0.0648
12 S 0.9132 0.0868 0.2500

Computed properties:
Magnetization (μB/cell): 0.0
Formation energy without anion corrections (meV per atom): -40.5
ΔE to the lowest computed polymorph (kJ/mol of formula units): 0


Here is crystalline CeTiSi2Tc at its relaxed geometry from Alexandria via LeMat-Bulk. Energies are from PBE-GGA.

Unit cell a=6.2505 b=6.2505 c=6.2505 alpha=142.71 beta=142.71 gamma=53.75
Sites, in units of the cell vectors:
1 Ce 0.0000 0.0000 0.0000
2 Ti 0.7500 0.2500 0.5000
3 Si 0.3913 0.3913 0.0000
4 Si 0.6087 0.6087 0.0000
5 Tc 0.2500 0.7500 0.5000

Computed properties:
Magnetization (μB/cell): 0.3
Formation energy without anion corrections (meV per atom): -716.7
N(E_F) (states/eV/atom): 1.19


Here is crystalline YNbSeBr2 at its relaxed geometry from Alexandria via LeMat-Bulk. Energies are from PBE-GGA.

Unit cell a=5.4563 b=5.4563 c=5.5554 alpha=90.00 beta=90.00 gamma=90.00
Sites, in units of the cell vectors:
1 Y 0.0000 0.0000 0.0000
2 Nb 0.5000 0.5000 0.5000
3 Se 0.0000 0.0000 0.5000
4 Br 0.0000 0.5000 0.0000
5 Br 0.5000 0.0000 0.0000

Computed properties:
Magnetization (μB/cell): 4.0
Formation energy without anion corrections (meV per atom): -187.0
N(E_F) (states/eV/atom): 1.56
ΔE to the lowest computed polymorph (kJ/mol of formula units): 33


Here is crystalline NdPuHfN3 at its relaxed geometry from Alexandria via LeMat-Bulk. Energies are from PBE-GGA.

Unit cell a=6.5251 b=3.2622 c=9.5498 alpha=90.00 beta=91.97 gamma=90.00
Sites, in units of the cell vectors:
1 Nd 0.1422 0.2500 0.2024
2 Nd 0.8578 0.7500 0.7976
3 Pu 0.2176 0.2500 0.5678
4 Pu 0.7824 0.7500 0.4322
5 Hf 0.3568 0.7500 0.8941
6 Hf 0.6432 0.2500 0.1059
7 N 0.1348 0.7500 0.4136
8 N 0.1498 0.2500 0.8487
9 N 0.3990 0.7500 0.1089
10 N 0.6010 0.2500 0.8911
11 N 0.8502 0.7500 0.1513
12 N 0.8652 0.2500 0.5864

Computed properties:
Magnetization (μB/cell): 11.2
Formation energy without anion corrections (meV per atom): -1296.8
N(E_F) (states/eV/atom): 1.05


Here is crystalline MgSc4Si4O14 at its relaxed geometry from Alexandria via LeMat-Bulk. Energies are from PBE-GGA.

Unit cell a=7.1526 b=7.1526 c=7.1526 alpha=128.40 beta=113.30 gamma=89.05
Sites, in units of the cell vectors:
1 Mg 0.0000 0.0000 0.0000
2 Sc 0.2974 0.5581 0.7392
3 Sc 0.3285 0.0919 0.7634
4 Sc 0.3285 0.5651 0.2366
5 Sc 0.8189 0.5581 0.2608
6 Si 0.3724 0.0676 0.3048
7 Si 0.7628 0.0676 0.6952
8 Si 0.7824 0.0490 0.2665
9 Si 0.7824 0.5159 0.7335
10 O 0.1813 0.1702 0.4064
11 O 0.1813 0.7749 0.0111
12 O 0.1874 0.6874 0.5000
13 O 0.1908 0.1908 0.0000
14 O 0.4875 0.4875 0.0000
15 O 0.4932 0.9932 0.5000
16 O 0.5178 0.3922 0.5352
17 O 0.5178 0.9825 0.1256
18 O 0.7638 0.1702 0.9889
19 O 0.7638 0.7749 0.5936
20 O 0.8035 0.8035 0.0000
21 O 0.8570 0.3922 0.8744
22 O 0.8570 0.9825 0.4648
23 O 0.8733 0.3733 0.5000

Computed properties:
Magnetization (μB/cell): 1.1
Formation energy without anion corrections (meV per atom): -2678.2
N(E_F) (states/eV/atom): 0.21
ΔE to the lowest computed polymorph (kJ/mol of formula units): 178


Here is crystalline CrCu3H at its relaxed geometry from Alexandria via LeMat-Bulk. Energies are from PBE-GGA.

Unit cell a=3.7950 b=3.7950 c=3.7950 alpha=90.00 beta=90.00 gamma=90.00
Sites, in units of the cell vectors:
1 Cr 0.0000 0.0000 0.0000
2 Cu 0.0000 0.5000 0.5000
3 Cu 0.5000 0.0000 0.5000
4 Cu 0.5000 0.5000 0.0000
5 H 0.5000 0.5000 0.5000

Computed properties:
Magnetization (μB/cell): 4.2
N(E_F) (states/eV/atom): 0.44
ΔE to the lowest computed polymorph (kJ/mol of formula units): 0


Here is crystalline AuBr2Cl at its relaxed geometry from Alexandria via LeMat-Bulk. Energies are from PBE-GGA.

Unit cell a=8.2810 b=7.8414 c=4.3793 alpha=79.86 beta=68.77 gamma=31.37
Sites, in units of the cell vectors:
1 Au 0.0000 0.0000 0.0000
2 Br 0.0000 0.5000 0.5000
3 Br 0.5000 0.0000 0.0000
4 Cl 0.5000 0.5000 0.5000

Computed properties:
Magnetization (μB/cell): 0.0
Formation energy without anion corrections (meV per atom): 191.0
N(E_F) (states/eV/atom): 0.39
ΔE to the lowest computed polymorph (kJ/mol of formula units): 141


Here is crystalline ThV2Si at its relaxed geometry from Alexandria via LeMat-Bulk. Energies are from PBE-GGA.

Unit cell a=4.5391 b=4.5391 c=4.5391 alpha=60.00 beta=60.00 gamma=60.00
Sites, in units of the cell vectors:
1 Th 0.0000 0.0000 0.0000
2 V 0.2500 0.2500 0.2500
3 V 0.7500 0.7500 0.7500
4 Si 0.5000 0.5000 0.5000

Computed properties:
Magnetization (μB/cell): 0.0
Formation energy without anion corrections (meV per atom): -41.3
N(E_F) (states/eV/atom): 0.61


Here is crystalline Li8AsN2 at its relaxed geometry from Alexandria via LeMat-Bulk. Energies are from PBE-GGA.

Unit cell a=5.9901 b=5.9901 c=3.8915 alpha=94.45 beta=94.45 gamma=113.19
Sites, in units of the cell vectors:
1 Li 0.1069 0.1069 0.7518
2 Li 0.1626 0.4588 0.4477
3 Li 0.2307 0.7693 0.0000
4 Li 0.4588 0.1626 0.4477
5 Li 0.5412 0.8374 0.5523
6 Li 0.7693 0.2307 0.0000
7 Li 0.8374 0.5412 0.5523
8 Li 0.8931 0.8931 0.2482
9 As 0.5000 0.5000 0.0000
10 N 0.1750 0.8250 0.5000
11 N 0.8250 0.1750 0.5000

Computed properties:
Magnetization (μB/cell): 0.0
Formation energy without anion corrections (meV per atom): -423.7
N(E_F) (states/eV/atom): 0.40


Here is crystalline Mg8Cd2Ni at its relaxed geometry from Alexandria via LeMat-Bulk. Energies are from PBE-GGA.

Unit cell a=8.2722 b=8.2722 c=6.6238 alpha=113.12 beta=113.12 gamma=33.86
Sites, in units of the cell vectors:
1 Mg 0.0031 0.0031 0.2684
2 Mg 0.1831 0.1831 0.6941
3 Mg 0.3657 0.3657 0.6193
4 Mg 0.3751 0.3751 0.1058
5 Mg 0.6249 0.6249 0.8942
6 Mg 0.6343 0.6343 0.3807
7 Mg 0.8169 0.8169 0.3059
8 Mg 0.9969 0.9969 0.7316
9 Cd 0.1830 0.1830 0.1816
10 Cd 0.8170 0.8170 0.8184
11 Ni 0.5000 0.5000 0.5000

Computed properties:
Energy of formation (eV per formula unit): -0.79
Magnetization (μB/cell): 0.0
N(E_F) (states/eV/atom): 0.23